DFT (PBE+U) results for crystalline LiEuW2O8 at its relaxed geometry.

a b c (Å): 6.764 6.764 6.764
angles (deg): 133.72 133.72 67.52
Atoms (fractional coordinates):
Li 0.000 0.000 0.000
Eu 0.750 0.250 0.500
W 0.250 0.750 0.500
W 0.500 0.500 0.000
O 0.002 0.903 0.582
O 0.097 0.679 0.099
O 0.171 0.251 0.603
O 0.321 0.420 0.418
O 0.431 0.829 0.080
O 0.580 0.998 0.901
O 0.648 0.569 0.397
O 0.749 0.352 0.920

Computed properties:
* total magnetization: 0.497 μB/atom
* excess energy over the best structure of this formula in the dataset: 0.0747 eV per atom